7
Lattice="5.085 -1.488 0.000 5.085 1.488 0.000 -0.042 0.000 4.987" Properties=species:S:1:pos:R:3 comment="Np2B2C3 (PBE, optimized geometry)" mass_density_g_cm3=11.7 delta_e_f_ev_per_atom=-0.106 pbc="T T T"
Np 1.324 0.000 1.230
Np 8.804 0.000 3.757
B 3.957 0.000 1.399
B 6.171 0.000 3.588
C 1.771 0.000 3.812
C 5.064 0.000 2.493
C 8.357 0.000 1.175

=====

5
Lattice="6.471 0.000 0.000 0.000 6.471 0.000 0.000 0.000 5.457" Properties=species:S:1:pos:R:3 comment="KCa2BrO (PBE, optimized geometry)" mass_density_g_cm3=1.6 e_form_raw_kcal_per_mol_atoms=10.928 pbc="T T T"
K 0.000 0.000 0.000
Ca 0.000 3.235 0.000
Ca 3.235 0.000 0.000
Br 0.000 0.000 2.728
O 3.235 3.235 2.728